This record from the Alexandria database describes K3H8RhC4Cl2O12 after structural relaxation. The functional is PBEsol.

```
K3H8RhC4Cl2O12
1.0
6.2308 -0.0435 -0.0503
-2.5905 7.7899 0.2049
-2.5905 -0.9239 7.7377
C O Cl K H Rh
4 12 2 3 8 1
Direct
0.3887 0.2970 0.1633
0.6113 0.7030 0.8367
0.3887 0.1633 0.2970
0.6113 0.8367 0.7030
0.5278 0.4468 0.2055
0.0337 0.5619 0.1771
0.5278 0.2055 0.4468
0.0337 0.1771 0.5619
0.7634 0.9924 0.7621
0.2366 0.2379 0.0076
0.2366 0.0076 0.2379
0.4722 0.5532 0.7945
0.9663 0.4381 0.8229
0.9663 0.8229 0.4381
0.7634 0.7621 0.9924
0.4722 0.7945 0.5532
0.1868 0.8671 0.8671
0.8132 0.1329 0.1329
0.0000 0.5000 0.5000
0.5000 0.2357 0.7643
0.5000 0.7643 0.2357
0.0368 0.8743 0.5588
0.0882 0.3838 0.8816
0.9632 0.4412 0.1257
0.0368 0.5588 0.8743
0.9632 0.1257 0.4412
0.0882 0.8816 0.3838
0.9118 0.1184 0.6162
0.9118 0.6162 0.1184
0.0000 0.0000 0.0000
```

Properties
As for the density of states at the Fermi level: 0.0000 states/eV per atom. Its energy is -6.011 eV per atom.